Compound: TiFeCl3
Source: Alexandria
Functional: PBE-GGA
Structure: relaxed

Cell: 4.858 4.858 4.858 Å, 90.00 90.00 90.00°
Sites, in units of the cell vectors:
Ti  0.000  0.000  0.000
Fe  0.500  0.500  0.500
Cl  0.000  0.000  0.500
Cl  0.000  0.500  0.000
Cl  0.500  0.000  0.000

Properties
N(E_F) in states/eV/f.u.: 13.813
Space-group type: Pm-3m, No. 221
Final energy in eV per atom: -4.6586
Raw formation energy in meV/atom: -279